Compound: AlSb2MoOs
Source: Alexandria via LeMat-Bulk
Functional: GGA-PBE
Structure: relaxed

```
5
Lattice="-1.3064 4.9108 -0.8893 -4.4723 -1.0251 0.9098 0.7602 1.1044 4.9815" Properties=species:S:1:pos:R:3 pbc="T T T"
Sb 0.3801 0.5522 2.4908
Sb -0.6532 2.4554 -0.4447
Mo -2.5093 2.4950 2.5010
Os 0.0000 0.0000 0.0000
Al -2.2362 -0.5125 0.4549
```

## Properties
E_tot, eV for the cell shown: -28.6
Space group: P4/mmm (123)
ΔE_f (raw), meV per atom: 1094

Compound: Ce2PmZn8
Source: Alexandria via LeMat-Bulk
Functional: GGA-PBE
Structure: relaxed

```
11
Lattice="4.7136 -0.0018 -1.2751 -0.6946 5.5560 -2.6036 -0.2904 0.4138 8.2899" Properties=species:S:1:pos:R:3 pbc="T T T"
Ce 2.6729 4.0084 0.5113
Ce 1.0557 1.9595 3.8999
Pm 2.3568 -0.0009 -0.6375
Zn 0.2598 2.0000 0.9412
Zn 3.8595 0.8834 4.9140
Zn 3.1997 2.7773 -2.2616
Zn 3.0446 1.2758 1.9033
Zn 0.6840 4.6922 2.5078
Zn 0.8193 2.7769 -1.6171
Zn -0.1309 5.0845 -0.5029
Zn 3.4688 3.9680 3.4699
```

## Properties
E_tot, eV for the cell shown: -29.6
E_form, eV/atom: -0.2568
Space group: C2/m (12)

Compound: Tb4Ga2Ag
Source: Alexandria via LeMat-Bulk
Functional: GGA-PBE
Structure: relaxed

```
7
Lattice="4.9452 0.0000 0.0000 2.4726 4.2827 0.0000 2.4726 1.4276 9.0603" Properties=species:S:1:pos:R:3 pbc="T T T"
Tb 4.9452 2.8551 7.7973
Tb 2.4726 1.4276 3.5026
Tb 7.4178 4.2827 5.5577
Tb 4.9452 2.8551 1.2630
Ga 2.4726 1.4276 6.4695
Ga 7.4178 4.2827 2.5908
Ag 0.0000 0.0000 0.0000
```

## Properties
E_tot, eV for the cell shown: -29.2
Energy above the lowest structure with this stoichiometry, meV per atom: 113
E_form, eV/atom: -0.2539
Space group: R-3m (166)

Compound: Na2AgPd
Source: Alexandria via LeMat-Bulk
Functional: GGA-PBE
Structure: relaxed

```
4
Lattice="-1.1202 -1.8699 -2.0232 1.5040 -2.4533 -0.7512 -4.7784 -6.7963 6.7410" Properties=species:S:1:pos:R:3 pbc="T T T"
Na -3.5258 -5.4292 4.7840
Na -0.8688 -5.6903 -0.8174
Pd 0.0000 0.0000 0.0000
Ag -2.1973 -5.5597 1.9833
```

## Properties
E_tot, eV for the cell shown: -10.1
E_form, eV/atom: 0.1391
Space group: R-3m (166)

Compound: Ag3SnCl
Source: Alexandria via LeMat-Bulk
Functional: GGA-PBE
Structure: relaxed

```
5
Lattice="-4.0856 2.6481 1.3010 -1.6994 -3.9287 2.6597 2.4118 1.7175 4.0780" Properties=species:S:1:pos:R:3 pbc="T T T"
Sn -1.6866 0.2184 4.0194
Ag -0.8497 -1.9644 1.3298
Ag 1.2059 0.8587 2.0390
Ag -2.0428 1.3240 0.6505
Cl 0.0000 0.0000 0.0000
```

## Properties
E_tot, eV for the cell shown: -12.0
Energy above the lowest structure with this stoichiometry, meV per atom: 12
Space group: Pm-3m (221)
ΔE_f (raw), meV per atom: 489

Compound: LaAs2Se
Source: Alexandria via LeMat-Bulk
Functional: GGA-PBE
Structure: relaxed

```
4
Lattice="-4.0850 -2.0614 -4.3348 -4.6716 -4.0943 -1.0681 -3.2919 2.8648 1.1917" Properties=species:S:1:pos:R:3 pbc="T T T"
As -3.1067 2.6083 1.0653
As -6.2093 -1.3889 -1.9792
Se -3.0121 -0.8227 -1.0528
La -9.0363 -2.4681 -3.1584
```

## Properties
E_tot, eV for the cell shown: -21.3
Energy above the lowest structure with this stoichiometry, meV per atom: 78
Space group: C2/m (12)
ΔE_f (raw), meV per atom: -906